[1]
# CaTmIn2Te4 PBE optimized geometry
data_CaTmIn2Te4
_chemical_formula_sum 'Ca1 Tm1 In2 Te4'
_symmetry_space_group_name_H-M 'P 1 2/m 1'
_symmetry_Int_Tables_number 10
_symmetry_space_group_name_Hall '-P 2y'
_cell_length_a 7.784
_cell_length_b 4.424
_cell_length_c 8.070
_cell_angle_alpha 90.00
_cell_angle_beta 108.19
_cell_angle_gamma 90.00
loop_
_atom_site_label
_atom_site_type_symbol
_atom_site_fract_x
_atom_site_fract_y
_atom_site_fract_z
_atom_site_occupancy
Ca1 Ca 0.000 0.000 0.000 1
Tm1 Tm 0.500 0.500 0.000 1
In1 In 0.000 0.500 0.500 1
In2 In 0.500 0.000 0.500 1
Te1 Te 0.260 0.500 0.236 1
Te2 Te 0.271 0.000 0.772 1
# ΔE_f (raw) in meV per atom: -906
# Total moment in μB per formula unit: 0.00

[2]
# CaTm2In3Te6 PBE optimized geometry
data_CaTm2In3Te6
_chemical_formula_sum 'Ca2 Tm4 In6 Te12'
_symmetry_space_group_name_H-M 'C 1 2/m 1'
_symmetry_Int_Tables_number 12
_symmetry_space_group_name_Hall '-C 2y'
_cell_length_a 7.679
_cell_length_b 13.301
_cell_length_c 8.197
_cell_angle_alpha 90.00
_cell_angle_beta 108.16
_cell_angle_gamma 90.00
loop_
_atom_site_label
_atom_site_type_symbol
_atom_site_fract_x
_atom_site_fract_y
_atom_site_fract_z
_atom_site_occupancy
Ca1 Ca 0.000 0.000 0.000 1
Tm1 Tm 0.000 0.332 0.000 1
In1 In 0.000 0.164 0.500 1
In2 In 0.000 0.500 0.500 1
Te1 Te 0.228 0.500 0.222 1
Te2 Te 0.249 0.173 0.227 1
# ΔE_f (raw) in meV per atom: -922
# Total moment in μB per formula unit: 0.00

[3]
# Ca2VInTe PBE optimized geometry
data_Ca2VInTe
_chemical_formula_sum 'Ca2 V1 In1 Te1'
_symmetry_space_group_name_H-M 'P 4/m m m'
_symmetry_Int_Tables_number 123
_symmetry_space_group_name_Hall '-P 4 2'
_cell_length_a 5.867
_cell_length_b 5.867
_cell_length_c 5.042
_cell_angle_alpha 90.00
_cell_angle_beta 90.00
_cell_angle_gamma 90.00
loop_
_atom_site_label
_atom_site_type_symbol
_atom_site_fract_x
_atom_site_fract_y
_atom_site_fract_z
_atom_site_occupancy
Ca1 Ca 0.000 0.500 0.000 1
V1 V 0.000 0.000 0.500 1
In1 In 0.500 0.500 0.500 1
Te1 Te 0.000 0.000 0.000 1
# ΔE_f (raw) in meV per atom: 38
# Total moment in μB per formula unit: 2.94

What did the third record say?
# Ca2VInTe PBE optimized geometry
data_Ca2VInTe
_chemical_formula_sum 'Ca2 V1 In1 Te1'
_symmetry_space_group_name_H-M 'P 4/m m m'
_symmetry_Int_Tables_number 123
_symmetry_space_group_name_Hall '-P 4 2'
_cell_length_a 5.867
_cell_length_b 5.867
_cell_length_c 5.042
_cell_angle_alpha 90.00
_cell_angle_beta 90.00
_cell_angle_gamma 90.00
loop_
_atom_site_label
_atom_site_type_symbol
_atom_site_fract_x
_atom_site_fract_y
_atom_site_fract_z
_atom_site_occupancy
Ca1 Ca 0.000 0.500 0.000 1
V1 V 0.000 0.000 0.500 1
In1 In 0.500 0.500 0.500 1
Te1 Te 0.000 0.000 0.000 1
# ΔE_f (raw) in meV per atom: 38
# Total moment in μB per formula unit: 2.94

Among the records above, which one has the highest ΔE_f (raw)?
Ca2VInTe

Number 2 is which compound?
CaTm2In3Te6